The following is a DFT calculation (PBE) of a relaxed PrThCu3 crystal.

**Electronic total energy**: -25.353 eV per formula unit
**Calculated formation energy**: -0.173 eV per atom
**Total magnetic moment**: 0.0 μB/f.u.
**Symmetry**: Cmcm, No. 63

```
PrThCu3
1.0
3.5519 0.0000 -0.4891
0.0000 4.3755 0.0000
0.0836 0.0000 13.7503
Th Cu Pr
2 6 2
Direct
0.9307 0.7500 0.8614
0.0693 0.2500 0.1386
0.6146 0.7500 0.2292
0.5226 0.7500 0.0452
0.3363 0.7500 0.6726
0.4774 0.2500 0.9548
0.3854 0.2500 0.7708
0.6637 0.2500 0.3274
0.7971 0.2500 0.5942
0.2029 0.7500 0.4058
```